(1)
Density functional theory data (PBE) for an optimized crystal structure of Ca2TaSi3Ir4.

Computed properties:
magnetization	0.00	μB/f.u.
uncorrected energy	-75.72	eV/cell
SG	No. 115
V	178.2	Å³ per cell

abc: 4.122 4.122 10.485
angles: 90.00 90.00 90.00
Positions (direct):
1 Ca 0.000 0.500 0.237
2 Ca 0.500 0.000 0.763
3 Ta 0.000 0.000 0.500
4 Si 0.000 0.500 0.878
5 Si 0.500 0.000 0.122
6 Si 0.500 0.500 0.500
7 Ir 0.000 0.000 0.000
8 Ir 0.000 0.500 0.642
9 Ir 0.500 0.000 0.358
10 Ir 0.500 0.500 0.000



(2)
Density functional theory data (PBE) for an optimized crystal structure of NaHf3Al.

Computed properties:
magnetization	0.00	μB/f.u.
SG	No. 221
polymorph energy (0 for the lowest one)	0.553	eV per atom
V	117.4	Å³ per cell

abc: 4.897 4.897 4.897
angles: 90.00 90.00 90.00
Positions (direct):
1 Na 0.000 0.000 0.000
2 Hf 0.000 0.000 0.500
3 Hf 0.000 0.500 0.000
4 Hf 0.500 0.000 0.000
5 Al 0.500 0.500 0.500



(3)
Density functional theory data (PBE) for an optimized crystal structure of AcSmBi2.

Computed properties:
magnetization	0.00	μB/f.u.
SG	No. 166
polymorph energy (0 for the lowest one)	0.760	eV per atom
V	160.2	Å³ per cell

abc: 11.470 11.470 11.470
angles: 20.38 20.38 20.38
Positions (direct):
1 Ac 0.000 0.000 0.000
2 Sm 0.500 0.500 0.500
3 Bi 0.099 0.099 0.099
4 Bi 0.901 0.901 0.901